! TiSb3P | the Alexandria database | PBE | optimized geometry; values from VASP
&SYSTEM
  ibrav = 0, nat = 5, ntyp = 3
/
ATOMIC_SPECIES
Ti 47.87 Ti.upf
Sb 121.76 Sb.upf
P 30.97 P.upf
ATOMIC_POSITIONS angstrom
Ti -1.999 -3.883 0.623
Sb -0.691 -0.952 2.259
Sb -2.259 -0.663 -0.971
Sb 0.951 -2.267 -0.665
P 0.000 0.000 0.000
CELL_PARAMETERS angstrom
-4.518 -1.327 -1.941
1.902 -4.534 -1.330
-1.382 -1.905 4.517
! - Raw formation energy: 0.7293 eV/atom